(1)
{
  "formula": "HfMnHg2Br",
  "functional": "SCAN",
  "state": "PBEsol geometry",
  "total_magnetization_mub_per_cell": 1.91,
  "e_form_raw_ev_per_atom": 0.25,
  "n_ef_per_ev_cell": 1.62,
  "lattice_angstrom": [[5.043, 0.000, 0.000], [0.000, 5.043, 0.000], [0.000, 0.000, 4.596]],
  "species": ["Hf", "Mn", "Hg", "Hg", "Br"],
  "frac_coords": [[0.000, 0.000, 0.000], [0.000, 0.000, 0.500], [0.000, 0.500, 0.500], [0.500, 0.000, 0.500], [0.500, 0.500, 0.000]]
}

=====

(2)
{
  "formula": "Tb5CoSb2",
  "functional": "SCAN",
  "state": "PBEsol geometry",
  "total_magnetization_mub_per_cell": 0.00,
  "e_form_raw_ev_per_atom": -0.75,
  "n_ef_per_ev_cell": 16.61,
  "lattice_angstrom": [[12.039, 0.000, 0.000], [0.000, 8.674, 0.000], [0.000, 0.000, 7.770]],
  "species": ["Tb", "Tb", "Tb", "Tb", "Tb", "Tb", "Tb", "Tb", "Tb", "Tb", "Tb", "Tb", "Tb", "Tb", "Tb", "Tb", "Tb", "Tb", "Tb", "Tb", "Co", "Co", "Co", "Co", "Sb", "Sb", "Sb", "Sb", "Sb", "Sb", "Sb", "Sb"],
  "frac_coords": [[0.002, 0.250, 0.044], [0.064, 0.536, 0.320], [0.064, 0.964, 0.320], [0.195, 0.250, 0.621], [0.203, 0.750, 0.652], [0.297, 0.250, 0.152], [0.305, 0.750, 0.121], [0.436, 0.036, 0.820], [0.436, 0.464, 0.820], [0.498, 0.750, 0.544], [0.502, 0.250, 0.456], [0.564, 0.536, 0.180], [0.564, 0.964, 0.180], [0.695, 0.250, 0.879], [0.703, 0.750, 0.848], [0.797, 0.250, 0.348], [0.805, 0.750, 0.379], [0.936, 0.036, 0.680], [0.936, 0.464, 0.680], [0.998, 0.750, 0.956], [0.011, 0.250, 0.431], [0.489, 0.750, 0.931], [0.511, 0.250, 0.069], [0.989, 0.750, 0.569], [0.173, 0.008, 0.926], [0.173, 0.492, 0.926], [0.327, 0.508, 0.426], [0.327, 0.992, 0.426], [0.673, 0.008, 0.574], [0.673, 0.492, 0.574], [0.827, 0.508, 0.074], [0.827, 0.992, 0.074]]
}

=====

(3)
{
  "formula": "Tc2NiW",
  "functional": "SCAN",
  "state": "PBEsol geometry",
  "total_magnetization_mub_per_cell": 0.00,
  "n_ef_per_ev_cell": 3.28,
  "total_energy_ev_per_cell": -155.4,
  "lattice_angstrom": [[2.610, -4.369, 0.000], [2.610, 4.369, 0.000], [-1.025, 0.000, 2.402]],
  "species": ["Tc", "Tc", "Ni", "W"],
  "frac_coords": [[0.000, 0.500, 0.000], [0.500, 0.000, 0.000], [0.000, 0.000, 0.500], [0.500, 0.500, 0.500]]
}

=====

Copy entry 3 word for word.
{
  "formula": "Tc2NiW",
  "functional": "SCAN",
  "state": "PBEsol geometry",
  "total_magnetization_mub_per_cell": 0.00,
  "n_ef_per_ev_cell": 3.28,
  "total_energy_ev_per_cell": -155.4,
  "lattice_angstrom": [[2.610, -4.369, 0.000], [2.610, 4.369, 0.000], [-1.025, 0.000, 2.402]],
  "species": ["Tc", "Tc", "Ni", "W"],
  "frac_coords": [[0.000, 0.500, 0.000], [0.500, 0.000, 0.000], [0.000, 0.000, 0.500], [0.500, 0.500, 0.500]]
}